A relaxed structure of Cs3PaTl2Se6. Source: Alexandria via LeMat-Bulk, functional PBE. Values from VASP.

Properties
Fermi-level density of states   4.88 states/eV per cell
Formation energy without anion corrections   -0.97 eV/atom
V   35.5 Å³ per atom
Crystal system   monoclinic

Cell and atoms, written as Quantum ESPRESSO input:
```
&SYSTEM
  ibrav = 0, nat = 12, ntyp = 4
/
ATOMIC_SPECIES
Cs 132.91 Cs.upf
Pa 231.04 Pa.upf
Tl 204.38 Tl.upf
Se 78.96 Se.upf
CELL_PARAMETERS angstrom
3.840 -6.676 0.000
3.840 6.676 0.000
-2.498 0.000 8.307
ATOMIC_POSITIONS crystal
Cs 0.000 0.000 0.000
Cs 0.322 0.678 0.000
Cs 0.678 0.322 0.000
Pa 0.500 0.500 0.500
Tl 0.164 0.836 0.500
Tl 0.836 0.164 0.500
Se 0.134 0.436 0.311
Se 0.267 0.267 0.698
Se 0.436 0.134 0.311
Se 0.564 0.866 0.689
Se 0.733 0.733 0.302
Se 0.866 0.564 0.689
```


A relaxed structure of Cs2Tm2PaSe6. Source: Alexandria via LeMat-Bulk, functional PBE. Values from VASP.

Properties
Fermi-level density of states   1.74 states/eV per cell
Formation energy without anion corrections   -1.65 eV/atom
V   35.3 Å³ per atom
Crystal system   monoclinic

Cell and atoms, written as Quantum ESPRESSO input:
```
&SYSTEM
  ibrav = 0, nat = 11, ntyp = 4
/
ATOMIC_SPECIES
Cs 132.91 Cs.upf
Tm 168.93 Tm.upf
Pa 231.04 Pa.upf
Se 78.96 Se.upf
CELL_PARAMETERS angstrom
3.606 -6.254 0.000
3.606 6.254 0.000
-2.429 0.000 8.601
ATOMIC_POSITIONS crystal
Cs 0.167 0.833 0.000
Cs 0.833 0.167 0.000
Tm 0.333 0.667 0.500
Tm 0.667 0.333 0.500
Pa 0.000 0.000 0.500
Se 0.061 0.395 0.681
Se 0.274 0.274 0.319
Se 0.395 0.061 0.681
Se 0.605 0.939 0.319
Se 0.726 0.726 0.681
Se 0.939 0.605 0.319
```


A relaxed structure of CsTmPaSe4. Source: Alexandria via LeMat-Bulk, functional PBE. Values from VASP.

Properties
Fermi-level density of states   7.43 states/eV per cell
Formation energy without anion corrections   -1.44 eV/atom
V   36.2 Å³ per atom
Crystal system   orthorhombic

Cell and atoms, written as Quantum ESPRESSO input:
```
&SYSTEM
  ibrav = 0, nat = 14, ntyp = 4
/
ATOMIC_SPECIES
Cs 132.91 Cs.upf
Tm 168.93 Tm.upf
Pa 231.04 Pa.upf
Se 78.96 Se.upf
CELL_PARAMETERS angstrom
-4.469 4.582 6.192
4.469 -4.582 6.192
4.469 4.582 -6.192
ATOMIC_POSITIONS crystal
Cs 0.383 0.133 0.250
Cs 0.617 0.867 0.750
Tm 0.000 0.000 0.500
Tm 0.000 0.500 0.000
Pa 0.000 0.500 0.500
Pa 0.500 0.500 0.000
Se 0.177 0.730 0.447
Se 0.218 0.270 0.947
Se 0.231 0.280 0.549
Se 0.231 0.683 0.951
Se 0.769 0.317 0.049
Se 0.769 0.720 0.451
Se 0.782 0.730 0.053
Se 0.823 0.270 0.553
```


A relaxed structure of Cs2UPa2Se6. Source: Alexandria via LeMat-Bulk, functional PBE. Values from VASP.

Properties
Fermi-level density of states   12.60 states/eV per cell
Formation energy without anion corrections   -1.33 eV/atom
V   35.6 Å³ per atom
Crystal system   monoclinic

Cell and atoms, written as Quantum ESPRESSO input:
```
&SYSTEM
  ibrav = 0, nat = 11, ntyp = 4
/
ATOMIC_SPECIES
Cs 132.91 Cs.upf
U 238.03 U.upf
Pa 231.04 Pa.upf
Se 78.96 Se.upf
CELL_PARAMETERS angstrom
3.596 -6.233 0.000
3.596 6.233 0.000
-2.389 0.000 8.732
ATOMIC_POSITIONS crystal
Cs 0.166 0.834 0.000
Cs 0.834 0.166 0.000
U 0.000 0.000 0.500
Pa 0.334 0.666 0.500
Pa 0.666 0.334 0.500
Se 0.062 0.398 0.687
Se 0.274 0.274 0.312
Se 0.398 0.062 0.687
Se 0.602 0.938 0.313
Se 0.726 0.726 0.688
Se 0.938 0.602 0.313
```


A relaxed structure of Cs2UPaSe4. Source: Alexandria via LeMat-Bulk, functional PBE. Values from VASP.

Properties
Fermi-level density of states   7.48 states/eV per cell
Formation energy without anion corrections   -1.25 eV/atom
V   33.0 Å³ per atom
Crystal system   monoclinic

Cell and atoms, written as Quantum ESPRESSO input:
```
&SYSTEM
  ibrav = 0, nat = 8, ntyp = 4
/
ATOMIC_SPECIES
Cs 132.91 Cs.upf
U 238.03 U.upf
Pa 231.04 Pa.upf
Se 78.96 Se.upf
CELL_PARAMETERS angstrom
7.321 0.000 0.000
0.000 4.221 0.000
-2.433 0.000 8.540
ATOMIC_POSITIONS crystal
Cs 0.000 0.000 0.000
Cs 0.500 0.500 0.000
U 0.000 0.500 0.500
Pa 0.500 0.000 0.500
Se 0.232 0.000 0.690
Se 0.272 0.500 0.309
Se 0.728 0.500 0.691
Se 0.768 0.000 0.310
```


A relaxed structure of Cs4U3PaSe8. Source: Alexandria via LeMat-Bulk, functional PBE. Values from VASP.

Properties
Fermi-level density of states   15.64 states/eV per cell
Formation energy without anion corrections   -1.23 eV/atom
V   33.1 Å³ per atom
Crystal system   trigonal

Cell and atoms, written as Quantum ESPRESSO input:
```
&SYSTEM
  ibrav = 0, nat = 16, ntyp = 4
/
ATOMIC_SPECIES
Cs 132.91 Cs.upf
U 238.03 U.upf
Pa 231.04 Pa.upf
Se 78.96 Se.upf
CELL_PARAMETERS angstrom
4.239 2.447 8.506
-4.239 2.447 8.506
0.000 -4.895 8.506
ATOMIC_POSITIONS crystal
Cs 0.000 0.000 0.000
Cs 0.000 0.500 0.500
Cs 0.500 0.000 0.500
Cs 0.500 0.500 0.000
U 0.000 0.000 0.500
U 0.000 0.500 0.000
U 0.500 0.000 0.000
Pa 0.500 0.500 0.500
Se 0.230 0.230 0.230
Se 0.232 0.729 0.729
Se 0.271 0.271 0.768
Se 0.271 0.768 0.271
Se 0.729 0.232 0.729
Se 0.729 0.729 0.232
Se 0.768 0.271 0.271
Se 0.770 0.770 0.770
```


A relaxed structure of Cs3UPa3Se8. Source: Alexandria via LeMat-Bulk, functional PBE. Values from VASP.

Properties
Fermi-level density of states   18.51 states/eV per cell
Formation energy without anion corrections   -1.31 eV/atom
V   34.8 Å³ per atom
Crystal system   trigonal

Cell and atoms, written as Quantum ESPRESSO input:
```
&SYSTEM
  ibrav = 0, nat = 15, ntyp = 4
/
ATOMIC_SPECIES
Cs 132.91 Cs.upf
U 238.03 U.upf
Pa 231.04 Pa.upf
Se 78.96 Se.upf
CELL_PARAMETERS angstrom
4.165 2.405 8.685
-4.165 2.405 8.685
0.000 -4.809 8.685
ATOMIC_POSITIONS crystal
Cs 0.000 0.500 0.500
Cs 0.500 0.000 0.500
Cs 0.500 0.500 0.000
U 0.500 0.500 0.500
Pa 0.000 0.000 0.500
Pa 0.000 0.500 0.000
Pa 0.500 0.000 0.000
Se 0.226 0.731 0.731
Se 0.230 0.230 0.230
Se 0.269 0.269 0.774
Se 0.269 0.774 0.269
Se 0.731 0.226 0.731
Se 0.731 0.731 0.226
Se 0.770 0.770 0.770
Se 0.774 0.269 0.269
```


A relaxed structure of Cs2YPa2Se6. Source: Alexandria via LeMat-Bulk, functional PBE. Values from VASP.

Properties
Fermi-level density of states   12.49 states/eV per cell
Formation energy without anion corrections   -1.50 eV/atom
V   35.8 Å³ per atom
Crystal system   monoclinic

Cell and atoms, written as Quantum ESPRESSO input:
```
&SYSTEM
  ibrav = 0, nat = 11, ntyp = 4
/
ATOMIC_SPECIES
Cs 132.91 Cs.upf
Y 88.91 Y.upf
Pa 231.04 Pa.upf
Se 78.96 Se.upf
CELL_PARAMETERS angstrom
3.626 -6.259 0.000
3.626 6.259 0.000
-2.361 0.000 8.668
ATOMIC_POSITIONS crystal
Cs 0.166 0.834 0.000
Cs 0.834 0.166 0.000
Y 0.000 0.000 0.500
Pa 0.335 0.665 0.500
Pa 0.665 0.335 0.500
Se 0.060 0.396 0.685
Se 0.273 0.273 0.313
Se 0.396 0.060 0.685
Se 0.604 0.940 0.315
Se 0.727 0.727 0.687
Se 0.940 0.604 0.315
```